(1)
# Ce2CdGaOs (PBE-GGA, optimized geometry)
# energy = -5.673 eV per atom
# DOS at the Fermi energy = 8.29 states/eV/f.u.
# ΔE_f = -0.27 eV per atom
data_Ce2CdGaOs
_chemical_formula_sum 'Ce4 Cd2 Ga2 Os2'
_cell_length_a 7.526
_cell_length_b 4.320
_cell_length_c 7.734
_cell_angle_alpha 90.00
_cell_angle_beta 108.53
_cell_angle_gamma 90.00
_space_group_name_H-M_alt 'P 1 21/m 1'
_space_group_IT_number 11
loop_
_space_group_symop_operation_xyz
'x,y,z'
'-x,-y,-z'
'-x,y+1/2,-z'
'x,-y+1/2,z'
loop_
_atom_site_label
_atom_site_type_symbol
_atom_site_fract_x
_atom_site_fract_y
_atom_site_fract_z
Ce1 Ce 0.127 0.250 0.340
Ce2 Ce 0.279 0.250 0.963
Cd1 Cd 0.320 0.750 0.663
Ga1 Ga 0.453 0.750 0.334
Os1 Os 0.128 0.750 0.102



(2)
# In2RePb (PBE-GGA, optimized geometry)
# energy = -4.491 eV per atom
# DOS at the Fermi energy = 3.68 states/eV/f.u.
# offset from the most stable computed form = 0.4725 eV per atom
# ΔE_f = 0.92 eV per atom
data_In2RePb
_chemical_formula_sum 'In8 Re4 Pb4'
_cell_length_a 7.073
_cell_length_b 7.073
_cell_length_c 7.073
_cell_angle_alpha 90.00
_cell_angle_beta 90.00
_cell_angle_gamma 90.00
_space_group_name_H-M_alt 'F -4 3 m'
_space_group_IT_number 216
_space_group_name_Hall 'F -4 2 3'
loop_
_atom_site_label
_atom_site_type_symbol
_atom_site_fract_x
_atom_site_fract_y
_atom_site_fract_z
In1 In 0.000 0.000 0.000
In2 In 0.250 0.250 0.250
Re1 Re 0.250 0.250 0.750
Pb1 Pb 0.000 0.000 0.500



(3)
# PaCoMo2 (PBE-GGA, optimized geometry)
# energy = -8.915 eV per atom
# DOS at the Fermi energy = 6.77 states/eV/f.u.
# ΔE_f = 0.65 eV per atom
data_PaCoMo2
_chemical_formula_sum 'Pa3 Co3 Mo6'
_cell_length_a 2.8915
_cell_length_b 2.8915
_cell_length_c 28.3840
_cell_angle_alpha 90.00
_cell_angle_beta 90.00
_cell_angle_gamma 120.00
_space_group_name_H-M_alt 'R -3 m'
_space_group_IT_number 166
_space_group_name_Hall '-R 3 2"'
loop_
_atom_site_label
_atom_site_type_symbol
_atom_site_fract_x
_atom_site_fract_y
_atom_site_fract_z
Pa1 Pa 0.0000 0.0000 0.0000
Co1 Co 0.0000 0.0000 0.5000
Mo1 Mo 0.0000 0.0000 0.0961



(4)
# TmTiCu2 (PBE-GGA, optimized geometry)
# energy = -5.216 eV per atom
# DOS at the Fermi energy = 4.17 states/eV/f.u.
# offset from the most stable computed form = 0.0448 eV per atom
# ΔE_f = -0.08 eV per atom
data_TmTiCu2
_chemical_formula_sum 'Tm1 Ti1 Cu2'
_cell_length_a 4.591
_cell_length_b 4.591
_cell_length_c 3.278
_cell_angle_alpha 90.00
_cell_angle_beta 90.00
_cell_angle_gamma 90.00
_space_group_name_H-M_alt 'P 4/m m m'
_space_group_IT_number 123
_space_group_name_Hall '-P 4 2'
loop_
_atom_site_label
_atom_site_type_symbol
_atom_site_fract_x
_atom_site_fract_y
_atom_site_fract_z
Tm1 Tm 0.000 0.000 0.000
Ti1 Ti 0.500 0.500 0.000
Cu1 Cu 0.000 0.500 0.500



(5)
# ErBeAs (PBE-GGA, optimized geometry)
# energy = -4.446 eV per atom
# DOS at the Fermi energy = 1.34 states/eV/f.u.
# ΔE_f = -0.13 eV per atom
data_ErBeAs
_chemical_formula_sum 'Er2 Be2 As2'
_cell_length_a 3.8008
_cell_length_b 3.8008
_cell_length_c 9.8871
_cell_angle_alpha 90.00
_cell_angle_beta 90.00
_cell_angle_gamma 120.00
_space_group_name_H-M_alt 'P -6 m 2'
_space_group_IT_number 187
_space_group_name_Hall 'P -6 2'
loop_
_atom_site_label
_atom_site_type_symbol
_atom_site_fract_x
_atom_site_fract_y
_atom_site_fract_z
Er1 Er 0.0000 0.0000 0.1893
Be1 Be 0.0000 0.0000 0.5000
Be2 Be 0.6667 0.3333 0.0000
As1 As 0.6667 0.3333 0.3693



(6)
# Pm2PrSmTe5 (PBE-GGA, optimized geometry)
# energy = -4.617 eV per atom
# DOS at the Fermi energy = 4.09 states/eV/f.u.
# formation energy (no corrections) = -760.3 meV/atom
data_Pm2PrSmTe5
_chemical_formula_sum 'Pm2 Pr1 Sm1 Te5'
_cell_length_a 5.627
_cell_length_b 5.627
_cell_length_c 11.950
_cell_angle_alpha 90.00
_cell_angle_beta 90.00
_cell_angle_gamma 90.00
_space_group_name_H-M_alt 'P 4/m m m'
_space_group_IT_number 123
_space_group_name_Hall '-P 4 2'
loop_
_atom_site_label
_atom_site_type_symbol
_atom_site_fract_x
_atom_site_fract_y
_atom_site_fract_z
Pm1 Pm 0.000 0.000 0.150
Pr1 Pr 0.500 0.500 0.500
Sm1 Sm 0.500 0.500 0.000
Te1 Te 0.000 0.000 0.500
Te2 Te 0.000 0.500 0.000
Te3 Te 0.500 0.500 0.251



(7)
# Li12Ag3Hg (PBE-GGA, optimized geometry)
# energy = -2.153 eV per atom
# DOS at the Fermi energy = 6.77 states/eV/f.u.
# ΔE_f = -0.16 eV per atom
data_Li12Ag3Hg
_chemical_formula_sum 'Li12 Ag3 Hg1'
_cell_length_a 4.052
_cell_length_b 4.052
_cell_length_c 16.654
_cell_angle_alpha 90.00
_cell_angle_beta 90.00
_cell_angle_gamma 90.00
_space_group_name_H-M_alt 'P 4/m m m'
_space_group_IT_number 123
_space_group_name_Hall '-P 4 2'
loop_
_atom_site_label
_atom_site_type_symbol
_atom_site_fract_x
_atom_site_fract_y
_atom_site_fract_z
Li1 Li 0.000 0.000 0.000
Li2 Li 0.000 0.000 0.246
Li3 Li 0.000 0.000 0.500
Li4 Li 0.000 0.500 0.123
Li5 Li 0.000 0.500 0.371
Ag1 Ag 0.500 0.500 0.000
Ag2 Ag 0.500 0.500 0.246
Hg1 Hg 0.500 0.500 0.500



(8)
# HoScTlSn (PBE-GGA, optimized geometry)
# energy = -4.706 eV per atom
# DOS at the Fermi energy = 3.89 states/eV/f.u.
# ΔE_f = -0.39 eV per atom
data_HoScTlSn
_chemical_formula_sum 'Ho4 Sc4 Tl4 Sn4'
_cell_length_a 7.382
_cell_length_b 7.382
_cell_length_c 7.382
_cell_angle_alpha 90.00
_cell_angle_beta 90.00
_cell_angle_gamma 90.00
_space_group_name_H-M_alt 'F -4 3 m'
_space_group_IT_number 216
_space_group_name_Hall 'F -4 2 3'
loop_
_atom_site_label
_atom_site_type_symbol
_atom_site_fract_x
_atom_site_fract_y
_atom_site_fract_z
Ho1 Ho 0.000 0.000 0.000
Sc1 Sc 0.000 0.000 0.500
Tl1 Tl 0.250 0.250 0.250
Sn1 Sn 0.250 0.250 0.750



(9)
# BaPr3 (PBE-GGA, optimized geometry)
# energy = -3.910 eV per atom
# DOS at the Fermi energy = 6.52 states/eV/f.u.
# offset from the most stable computed form = 0.0000 eV per atom
# ΔE_f = 0.16 eV per atom
data_BaPr3
_chemical_formula_sum 'Ba1 Pr3'
_cell_length_a 3.830
_cell_length_b 6.155
_cell_length_c 6.867
_cell_angle_alpha 90.00
_cell_angle_beta 90.00
_cell_angle_gamma 90.00
_space_group_name_H-M_alt 'P m m 2'
_space_group_IT_number 25
loop_
_space_group_symop_operation_xyz
'x,y,z'
'-x,-y,z'
'-x,y,z'
'x,-y,z'
loop_
_atom_site_label
_atom_site_type_symbol
_atom_site_fract_x
_atom_site_fract_y
_atom_site_fract_z
Ba1 Ba 0.000 0.000 0.000
Pr1 Pr 0.000 0.500 0.661
Pr2 Pr 0.500 0.000 0.498
Pr3 Pr 0.500 0.500 0.199



(10)
# KBaCaEu (PBE-GGA, optimized geometry)
# energy = -3.661 eV per atom
# DOS at the Fermi energy = 16.02 states/eV/f.u.
# ΔE_f = 0.16 eV per atom
data_KBaCaEu
_chemical_formula_sum 'K4 Ba4 Ca4 Eu4'
_cell_length_a 9.545
_cell_length_b 9.545
_cell_length_c 9.545
_cell_angle_alpha 90.00
_cell_angle_beta 90.00
_cell_angle_gamma 90.00
_space_group_name_H-M_alt 'F -4 3 m'
_space_group_IT_number 216
_space_group_name_Hall 'F -4 2 3'
loop_
_atom_site_label
_atom_site_type_symbol
_atom_site_fract_x
_atom_site_fract_y
_atom_site_fract_z
K1 K 0.000 0.000 0.000
Ba1 Ba 0.250 0.250 0.750
Ca1 Ca 0.000 0.000 0.500
Eu1 Eu 0.250 0.250 0.250



(11)
# Ti3Te3C (PBE-GGA, optimized geometry)
# energy = -6.749 eV per atom
# DOS at the Fermi energy = 3.32 states/eV/f.u.
# formation energy (no corrections) = -701.6 meV/atom
data_Ti3Te3C
_chemical_formula_sum 'Ti6 Te6 C2'
_cell_length_a 7.743
_cell_length_b 3.434
_cell_length_c 11.133
_cell_angle_alpha 90.00
_cell_angle_beta 92.69
_cell_angle_gamma 90.00
_space_group_name_H-M_alt 'P 1 21/m 1'
_space_group_IT_number 11
loop_
_space_group_symop_operation_xyz
'x,y,z'
'-x,-y,-z'
'-x,y+1/2,-z'
'x,-y+1/2,z'
loop_
_atom_site_label
_atom_site_type_symbol
_atom_site_fract_x
_atom_site_fract_y
_atom_site_fract_z
Ti1 Ti 0.084 0.250 0.409
Ti2 Ti 0.111 0.250 0.792
Ti3 Ti 0.283 0.750 0.611
Te1 Te 0.139 0.250 0.146
Te2 Te 0.374 0.750 0.857
Te3 Te 0.381 0.750 0.382
C1 C 0.108 0.250 0.604



(12)
# FePIr2 (PBE-GGA, optimized geometry)
# energy = -7.655 eV per atom
# DOS at the Fermi energy = 3.69 states/eV/f.u.
# ΔE_f = 0.24 eV per atom
data_FePIr2
_chemical_formula_sum 'Fe2 P2 Ir4'
_cell_length_a 2.789
_cell_length_b 4.766
_cell_length_c 8.457
_cell_angle_alpha 90.00
_cell_angle_beta 90.00
_cell_angle_gamma 90.00
_space_group_name_H-M_alt 'C m m m'
_space_group_IT_number 65
_space_group_name_Hall '-C 2 2'
loop_
_atom_site_label
_atom_site_type_symbol
_atom_site_fract_x
_atom_site_fract_y
_atom_site_fract_z
Fe1 Fe 0.000 0.000 0.000
P1 P 0.000 0.000 0.500
Ir1 Ir 0.000 0.500 0.260